1.
A plane-wave DFT calculation with PBE was carried out for a relaxed structure of Zr2GeB.

Calculated values
* SG: R-3m, No. 166
* energy of formation: -579 meV per atom
* E_tot: -7.677 eV/atom
* N(E_F): 2.12 states/eV/cell
* distance to the lowest polymorph of the same formula: 0 meV per atom

Cell and atoms, written as extended XYZ:
```
4
Lattice="1.7316 0.9997 6.8403 -1.7316 0.9997 6.8403 0.0000 -1.9994 6.8403" Properties=species:S:1:pos:R:3 pbc="T T T"
Zr 0.0000 0.0000 4.7601
Zr 0.0000 0.0000 15.7607
Ge 0.0000 0.0000 0.0000
B 0.0000 0.0000 10.2604
```



2.
A plane-wave DFT calculation with PBE was carried out for a relaxed structure of ZrGeB3.

Calculated values
* SG: Pm-3m, No. 221
* energy of formation: 1763 meV per atom
* E_tot: -4.876 eV/atom
* N(E_F): 1.94 states/eV/cell
* distance to the lowest polymorph of the same formula: 445 meV per atom

Cell and atoms, written as extended XYZ:
```
5
Lattice="4.4535 0.0000 0.0000 0.0000 4.4535 0.0000 0.0000 0.0000 4.4535" Properties=species:S:1:pos:R:3 pbc="T T T"
Zr 0.0000 0.0000 0.0000
Ge 2.2267 2.2267 2.2267
B 0.0000 0.0000 2.2267
B 0.0000 2.2267 0.0000
B 2.2267 0.0000 0.0000
```



3.
A plane-wave DFT calculation with PBE was carried out for a relaxed structure of ZrGe2B.

Calculated values
* SG: I-42d, No. 122
* energy of formation: 12 meV per atom
* E_tot: -6.103 eV/atom
* N(E_F): 0.67 states/eV/cell

Cell and atoms, written as extended XYZ:
```
8
Lattice="-3.2664 3.2664 3.0122 3.2664 -3.2664 3.0122 3.2664 3.2664 -3.0122" Properties=species:S:1:pos:R:3 pbc="T T T"
Zr 0.0000 0.0000 0.0000
Zr 0.0000 3.2664 1.5061
Ge 1.6332 -1.1110 2.2591
Ge 2.1554 1.6332 0.7530
Ge 1.6332 4.3774 -0.7530
Ge 1.1110 1.6332 3.7652
B 3.2664 0.0000 1.5061
B 0.0000 0.0000 3.0122
```



4.
A plane-wave DFT calculation with PBE was carried out for a relaxed structure of B2H3.

Calculated values
* SG: Pbca, No. 61
* E_tot: -4.750 eV/atom
* N(E_F): 0.00 states/eV/cell

Cell and atoms, written as extended XYZ:
```
160
Lattice="10.5126 0.0000 0.0000 0.0000 10.5782 0.0000 0.0000 0.0000 13.7513" Properties=species:S:1:pos:R:3 pbc="T T T"
B 0.2055 1.9973 0.9290
B 0.2055 3.2918 7.8047
B 0.5817 1.6401 8.1576
B 0.5817 3.6490 1.2820
B 0.7514 6.2625 11.4870
B 0.7514 9.6049 4.6113
B 1.0283 7.3782 12.8849
B 1.0283 8.4891 6.0092
B 1.2228 7.1058 9.9471
B 1.2228 8.7615 3.0714
B 1.3720 6.9095 5.1996
B 1.3720 8.9579 12.0753
B 1.5882 7.1887 3.4148
B 1.5882 8.6787 10.2905
B 2.0618 7.4649 11.3932
B 2.0618 8.4025 4.5175
B 3.1945 2.1758 11.3932
B 3.1945 3.1134 4.5175
B 3.6680 1.8995 3.4148
B 3.6680 3.3896 10.2905
B 3.8843 1.6204 5.1996
B 3.8843 3.6688 12.0753
B 4.0335 1.8167 9.9471
B 4.0335 3.4724 3.0714
B 4.2280 2.0891 12.8849
B 4.2280 3.2000 6.0092
B 4.5049 0.9734 11.4870
B 4.5049 4.3158 4.6113
B 4.6746 6.9292 8.1576
B 4.6746 8.9381 1.2820
B 5.0508 7.2864 0.9290
B 5.0508 8.5809 7.8047
B 5.4617 1.9973 5.9467
B 5.4617 3.2918 12.8223
B 5.8380 1.6401 12.4694
B 5.8380 3.6490 5.5937
B 6.0077 6.2625 9.1400
B 6.0077 9.6049 2.2643
B 6.2846 7.3782 7.7421
B 6.2846 8.4891 0.8665
B 6.4791 7.1058 10.6799
B 6.4791 8.7615 3.8042
B 6.6283 6.9095 1.6761
B 6.6283 8.9579 8.5517
B 6.8445 7.1887 3.4608
B 6.8445 8.6787 10.3365
B 7.3181 7.4649 9.2338
B 7.3181 8.4025 2.3581
B 8.4508 2.1758 9.2338
B 8.4508 3.1134 2.3581
B 8.9243 1.8995 3.4608
B 8.9243 3.3896 10.3365
B 9.1406 1.6204 1.6761
B 9.1406 3.6688 8.5517
B 9.2898 1.8167 10.6799
B 9.2898 3.4724 3.8042
B 9.4843 2.0891 7.7421
B 9.4843 3.2000 0.8665
B 9.7611 0.9734 9.1400
B 9.7611 4.3158 2.2643
B 9.9309 6.9292 12.4694
B 9.9309 8.9381 5.5937
B 10.3071 7.2864 5.9467
B 10.3071 8.5809 12.8223
H 0.1798 6.5081 4.8425
H 0.1798 9.3593 11.7182
H 0.4614 1.2808 9.5137
H 0.4614 4.0083 2.6381
H 0.4667 7.6718 2.8585
H 0.4667 8.1956 9.7342
H 0.7269 1.3270 0.0965
H 0.7269 3.9621 6.9722
H 0.8867 0.2091 4.6838
H 0.8867 5.0801 11.5595
H 1.2017 2.5174 1.6688
H 1.2017 2.7717 8.5444
H 1.3041 6.4848 8.9349
H 1.3041 9.3825 2.0593
H 1.4043 0.9808 7.6092
H 1.4043 4.3083 0.7335
H 1.5396 7.0374 0.1538
H 1.5396 8.8300 7.0295
H 1.9768 6.0250 5.7198
H 1.9768 9.8423 12.5955
H 2.0222 6.3154 2.7327
H 2.0222 9.5519 9.6083
H 2.0504 1.8740 11.5786
H 2.0504 3.4151 4.7029
H 3.2059 7.1631 11.5786
H 3.2059 8.7042 4.7029
H 3.2340 1.0263 2.7327
H 3.2340 4.2628 9.6083
H 3.2795 0.7359 5.7198
H 3.2795 4.5532 12.5955
H 3.7167 1.7483 0.1538
H 3.7167 3.5409 7.0295
H 3.8520 6.2699 7.6092
H 3.8520 9.5975 0.7335
H 3.9522 1.1957 8.9349
H 3.9522 4.0934 2.0593
H 4.0546 7.8065 1.6688
H 4.0546 8.0608 8.5444
H 4.3696 5.4982 4.6838
H 4.3696 10.3692 11.5595
H 4.5294 6.6162 0.0965
H 4.5294 9.2512 6.9722
H 4.7896 2.3827 2.8585
H 4.7896 2.9064 9.7342
H 4.7949 6.5699 9.5137
H 4.7949 9.2975 2.6381
H 5.0765 1.2190 4.8425
H 5.0765 4.0702 11.7182
H 5.4361 6.5081 2.0332
H 5.4361 9.3593 8.9088
H 5.7176 1.2808 11.1132
H 5.7176 4.0083 4.2376
H 5.7229 7.6718 4.0172
H 5.7229 8.1956 10.8928
H 5.9832 1.3270 6.7791
H 5.9832 3.9621 13.6548
H 6.1429 0.2091 2.1919
H 6.1429 5.0801 9.0675
H 6.4580 2.5174 5.2069
H 6.4580 2.7717 12.0826
H 6.5604 6.4848 11.6921
H 6.5604 9.3825 4.8164
H 6.6606 0.9808 13.0178
H 6.6606 4.3083 6.1422
H 6.7958 7.0374 6.7218
H 6.7958 8.8300 13.5975
H 7.2331 6.0250 1.1559
H 7.2331 9.8423 8.0315
H 7.2785 6.3154 4.1430
H 7.2785 9.5519 11.0187
H 7.3067 1.8740 9.0484
H 7.3067 3.4151 2.1728
H 8.4622 7.1631 9.0484
H 8.4622 8.7042 2.1728
H 8.4903 1.0263 4.1430
H 8.4903 4.2628 11.0187
H 8.5358 0.7359 1.1559
H 8.5358 4.5532 8.0315
H 8.9730 1.7483 6.7218
H 8.9730 3.5409 13.5975
H 9.1083 6.2699 13.0178
H 9.1083 9.5975 6.1422
H 9.2085 1.1957 11.6921
H 9.2085 4.0934 4.8164
H 9.3108 7.8065 5.2069
H 9.3108 8.0608 12.0826
H 9.6259 5.4982 2.1919
H 9.6259 10.3692 9.0675
H 9.7857 6.6162 6.7791
H 9.7857 9.2512 13.6548
H 10.0459 2.3827 4.0172
H 10.0459 2.9064 10.8928
H 10.0512 6.5699 11.1132
H 10.0512 9.2975 4.2376
H 10.3328 1.2190 2.0332
H 10.3328 4.0702 8.9088
```



5.
A plane-wave DFT calculation with PBE was carried out for a relaxed structure of BH2.

Calculated values
* SG: Fm-3m, No. 225
* E_tot: -3.083 eV/atom
* N(E_F): 1.53 states/eV/cell
* distance to the lowest polymorph of the same formula: 1374 meV per atom

Cell and atoms, written as extended XYZ:
```
9
Lattice="0.0000 2.7805 2.7805 2.7805 0.0000 2.7805 2.7805 2.7805 0.0000" Properties=species:S:1:pos:R:3 pbc="T T T"
B 0.0000 0.0000 0.0000
B 1.3902 1.3902 1.3902
B 4.1707 4.1707 4.1707
H 2.7805 2.7805 1.4394
H 2.7805 1.4394 2.7805
H 4.1216 2.7805 2.7805
H 1.4394 2.7805 2.7805
H 2.7805 4.1216 2.7805
H 2.7805 2.7805 4.1216
```



6.
A plane-wave DFT calculation with PBE was carried out for a relaxed structure of BH6.

Calculated values
* SG: Pnma, No. 62
* E_tot: -3.673 eV/atom
* N(E_F): 2.32 states/eV/cell

Cell and atoms, written as extended XYZ:
```
28
Lattice="9.1065 0.0000 0.0000 0.0000 9.0811 0.0000 0.0000 0.0000 2.6130" Properties=species:S:1:pos:R:3 pbc="T T T"
B 1.8985 2.2703 0.0542
B 2.6548 6.8108 1.3607
B 6.4517 2.2703 1.2523
B 7.2081 6.8108 2.5588
H 0.1463 0.2889 1.1181
H 0.1463 4.2516 1.1181
H 0.7089 2.2703 0.0512
H 2.0359 6.8108 0.0542
H 2.0769 5.7403 1.3611
H 2.0769 7.8813 1.3611
H 2.4764 1.1998 0.0547
H 2.4764 3.3408 0.0547
H 2.5174 2.2703 1.3607
H 3.8444 6.8108 1.3577
H 4.4069 4.8295 2.4246
H 4.4069 8.7922 2.4246
H 4.6996 0.2889 0.1884
H 4.6996 4.2516 0.1884
H 5.2621 2.2703 1.2553
H 6.5891 6.8108 1.2523
H 6.6301 5.7403 2.5583
H 6.6301 7.8813 2.5583
H 7.0297 1.1998 1.2518
H 7.0297 3.3408 1.2518
H 7.0707 2.2703 2.5588
H 8.3977 6.8108 2.5617
H 8.9602 4.8295 1.4949
H 8.9602 8.7922 1.4949
```



7.
A plane-wave DFT calculation with PBE was carried out for a relaxed structure of BH.

Calculated values
* SG: P1, No. 1
* E_tot: -4.265 eV/atom
* N(E_F): 0.11 states/eV/cell
* distance to the lowest polymorph of the same formula: 791 meV per atom

Cell and atoms, written as extended XYZ:
```
2
Lattice="1.5953 0.0000 0.0000 0.6993 2.4792 0.0000 0.0277 1.0305 3.4232" Properties=species:S:1:pos:R:3 pbc="T T T"
B 0.0000 0.0000 0.0000
H 0.8258 0.9879 2.2737
```



8.
A plane-wave DFT calculation with PBE was carried out for a relaxed structure of BH.

Calculated values
* SG: I-43m, No. 217
* E_tot: -4.588 eV/atom
* N(E_F): 0.00 states/eV/cell
* distance to the lowest polymorph of the same formula: 468 meV per atom

Cell and atoms, written as extended XYZ:
```
8
Lattice="-3.3118 3.3118 3.3118 3.3118 -3.3118 3.3118 3.3118 3.3118 -3.3118" Properties=species:S:1:pos:R:3 pbc="T T T"
B 0.5949 0.5949 -0.5949
B 0.5949 -0.5949 0.5949
B -0.5949 0.5949 0.5949
B 2.7169 2.7169 2.7169
H 1.2826 1.2826 -1.2826
H 1.2826 -1.2826 1.2826
H -1.2826 1.2826 1.2826
H 2.0292 2.0292 2.0292
```



9.
A plane-wave DFT calculation with PBE was carried out for a relaxed structure of BH2.

Calculated values
* SG: P-1, No. 2
* E_tot: -4.457 eV/atom
* N(E_F): 0.00 states/eV/cell
* distance to the lowest polymorph of the same formula: 0 meV per atom

Cell and atoms, written as extended XYZ:
```
6
Lattice="3.0470 0.0000 0.0000 1.0058 4.1475 0.0000 1.0538 -0.1278 4.1556" Properties=species:S:1:pos:R:3 pbc="T T T"
B 0.7427 0.2910 0.2994
B 4.3639 3.7288 3.8561
H 0.8118 1.1291 1.1623
H 2.5293 3.4419 0.6853
H 2.5774 0.5779 3.4702
H 4.2949 2.8907 2.9933
```



10.
A plane-wave DFT calculation with PBE was carried out for a relaxed structure of BH.

Calculated values
* SG: P1, No. 1
* E_tot: -4.643 eV/atom
* N(E_F): 0.00 states/eV/cell
* distance to the lowest polymorph of the same formula: 413 meV per atom

Cell and atoms, written as extended XYZ:
```
4
Lattice="3.0737 0.0000 0.0000 -1.4049 3.1524 0.0000 -1.3354 -1.2950 3.9426" Properties=species:S:1:pos:R:3 pbc="T T T"
B 0.0000 0.0000 0.0000
B 0.0928 2.6442 0.0028
H -1.9941 1.6063 2.8121
H 0.0422 1.3224 0.0367
```



11.
A plane-wave DFT calculation with PBE was carried out for a relaxed structure of BH.

Calculated values
* SG: Ima2, No. 46
* E_tot: -4.702 eV/atom
* distance to the lowest polymorph of the same formula: 354 meV per atom

Cell and atoms, written as extended XYZ:
```
4
Lattice="-1.5535 2.4983 1.9320 1.5535 -2.4983 1.9320 1.5535 2.4983 -1.9320" Properties=species:S:1:pos:R:3 pbc="T T T"
B 0.7767 0.3357 0.0000
B 0.7767 2.1626 1.9320
H 0.7767 1.3647 0.8574
H 0.7767 1.1336 2.7894
```



12.
A plane-wave DFT calculation with PBE was carried out for a relaxed structure of B5H11.

Calculated values
* SG: P2_1/c, No. 14
* E_tot: -4.452 eV/atom
* N(E_F): 0.00 states/eV/cell

Cell and atoms, written as extended XYZ:
```
64
Lattice="6.8428 0.0000 0.0000 0.0000 8.5500 0.0000 -6.0502 0.0000 10.1320" Properties=species:S:1:pos:R:3 pbc="T T T"
B -0.7345 1.8396 1.2491
B -3.7597 2.4354 6.3151
B -0.5358 1.4039 2.9936
B -3.5609 2.8711 8.0595
B 0.3173 0.4275 1.8352
B -2.7078 3.8475 6.9012
B 1.1466 0.9162 3.2672
B -1.8785 3.3588 8.3332
B 2.1271 0.8811 1.8354
B -0.8980 3.3939 6.9013
B 1.6906 5.1561 3.2306
B -1.3346 7.6689 8.2966
B 2.6711 5.1912 1.7988
B -0.3540 7.6338 6.8647
B 3.5004 4.7025 3.2308
B 0.4752 8.1225 8.2967
B 4.3535 5.6789 2.0724
B 1.3284 7.1461 7.1384
B 4.5522 6.1146 3.8169
B 1.5271 6.7104 8.8828
H -3.2674 1.4707 5.7803
H -0.2423 2.8043 0.7143
H -3.9182 1.7606 7.5077
H -0.8931 2.5144 2.4417
H -1.3848 1.0030 3.7247
H -4.4099 3.2720 8.7907
H 0.4176 1.1373 0.7856
H -2.6075 3.1377 5.8516
H -3.0667 4.9704 6.7187
H -0.0416 7.8546 1.6527
H -1.2171 5.7659 4.2118
H -4.2422 7.0591 9.2778
H 0.4214 1.9842 3.7103
H -2.6037 2.2908 8.7763
H 0.8673 4.2901 3.1392
H -2.1578 8.5349 8.2051
H 1.6014 5.8889 2.0779
H -1.4237 6.9361 7.1439
H 2.3310 1.7626 1.0497
H -0.6941 2.5124 6.1157
H 2.4896 4.4469 0.8891
H -0.5355 8.3781 5.9551
H 1.3280 0.1719 4.1768
H -1.6971 4.1031 9.2428
H 1.4867 6.0376 4.0163
H -1.5384 6.7874 9.0823
H 2.2163 1.6139 2.9881
H -0.8088 2.6611 8.0541
H 2.9503 0.0151 1.9268
H -0.0748 4.2599 6.9928
H 3.3963 6.2592 1.3557
H 0.3712 6.5658 6.4216
H 5.0348 1.4909 0.8542
H 2.0097 2.7841 5.9201
H 0.8342 0.6954 8.4793
H 3.8593 3.5796 3.4133
H 3.4000 5.4123 4.2803
H 0.3749 7.4126 9.3463
H 5.2025 5.2780 1.3413
H 2.1774 7.5470 6.4073
H 1.6856 6.0356 7.6902
H 4.7107 6.7894 2.6242
H 1.0349 5.7457 9.4176
H 4.0600 7.0793 4.3517
```



13.
A plane-wave DFT calculation with PBE was carried out for a relaxed structure of BH.

Calculated values
* SG: P1, No. 1
* E_tot: -4.896 eV/atom
* N(E_F): 0.00 states/eV/cell
* distance to the lowest polymorph of the same formula: 161 meV per atom

Cell and atoms, written as extended XYZ:
```
8
Lattice="2.7708 0.0000 0.0000 0.2146 5.2609 0.0000 0.8686 0.7173 5.6519" Properties=species:S:1:pos:R:3 pbc="T T T"
B 0.0000 0.0000 0.0000
B 0.8683 1.2118 4.1297
B 2.2538 1.7966 5.0713
B 2.2539 1.8737 3.3603
H 1.0830 5.2010 4.5078
H 2.2536 2.9258 5.4860
H 2.2532 2.6442 2.4585
H 2.9865 4.5218 0.9241
```



14.
A plane-wave DFT calculation with PBE was carried out for a relaxed structure of BH.

Calculated values
* SG: Pm, No. 6
* E_tot: -4.876 eV/atom
* N(E_F): 0.47 states/eV/cell
* distance to the lowest polymorph of the same formula: 181 meV per atom

Cell and atoms, written as extended XYZ:
```
8
Lattice="3.6893 0.0000 0.0000 0.0000 2.8511 0.0000 -0.0293 0.0000 5.9599" Properties=species:S:1:pos:R:3 pbc="T T T"
B 0.0000 0.0000 0.0000
B 0.0351 1.4255 1.0972
B 1.9862 0.0000 5.0646
B 2.5590 1.4255 5.9001
H 0.4462 1.4255 2.2122
H 0.5880 0.0000 4.8524
H 2.0756 0.0000 3.8657
H 2.3689 1.4255 1.2512
```